Entry 1:
The following is a PBE-GGA calculation of La2MgZn3 after structural relaxation, from the Alexandria database.

- DFT formation energy (meV/atom) = -233
- final energy (eV/atom) = -2.778
- M_tot (μB/cell) = 0.00
- mass density (g/cm³) = 5.58
- volume (Å³/atom) = 24.735

a = 3.6880 Å, b = 4.8710 Å, c = 16.5228 Å
α = 90.00°, β = 90.00°, γ = 90.00°
Space group Imm2 (No. 44)
Unique sites:
1 La 0.0000 0.0000 0.0000 (multiplicity 2)
2 La 0.0000 0.5000 0.2724 (multiplicity 2)
3 Mg 0.0000 0.0000 0.5986 (multiplicity 2)
4 Zn 0.0000 0.0000 0.4330 (multiplicity 2)
5 Zn 0.0000 0.5000 0.6756 (multiplicity 2)
6 Zn 0.0000 0.5000 0.8326 (multiplicity 2)



Entry 2:
The following is a PBE-GGA calculation of Ti4NbPd3 after structural relaxation, from the Alexandria database.

- DFT formation energy (meV/atom) = -395
- final energy (eV/atom) = -7.548
- M_tot (μB/cell) = 0.85
- mass density (g/cm³) = 7.70
- volume (Å³/atom) = 16.268

a = 3.2839 Å, b = 3.2839 Å, c = 12.0681 Å
α = 90.00°, β = 90.00°, γ = 90.00°
Space group P4/mmm (No. 123)
Unique sites:
1 Ti 0.0000 0.0000 0.1199 (multiplicity 2)
2 Ti 0.0000 0.0000 0.3725 (multiplicity 2)
3 Nb 0.5000 0.5000 0.5000 (multiplicity 1)
4 Pd 0.5000 0.5000 0.0000 (multiplicity 1)
5 Pd 0.5000 0.5000 0.2394 (multiplicity 2)



Entry 3:
The following is a PBE-GGA calculation of AlAs after structural relaxation, from the Alexandria database.

- DFT formation energy (meV/atom) = -217
- final energy (eV/atom) = -4.413
- M_tot (μB/cell) = 0.00
- mass density (g/cm³) = 4.12
- volume (Å³/atom) = 20.552

a = 4.9534 Å, b = 6.4324 Å, c = 5.1602 Å
α = 90.00°, β = 90.00°, γ = 90.00°
Space group Cmcm (No. 63)
Unique sites:
1 Al 0.0000 0.1390 0.2500 (multiplicity 4)
2 As 0.0000 0.2525 0.7500 (multiplicity 4)



Entry 4:
The following is a PBE-GGA calculation of NbCoPb2 after structural relaxation, from the Alexandria database.

- DFT formation energy (meV/atom) = 741
- relative energy among the computed polymorphs (eV per atom) = 0.055
- final energy (eV/atom) = -5.407
- M_tot (μB/cell) = 4.66
- mass density (g/cm³) = 11.08
- volume (Å³/atom) = 21.224

a = 7.5305 Å, b = 7.5305 Å, c = 5.9883 Å
α = 90.00°, β = 90.00°, γ = 90.00°
Space group I-42d (No. 122)
Unique sites:
1 Nb 0.0000 0.0000 0.0000 (multiplicity 4)
2 Co 0.0000 0.0000 0.5000 (multiplicity 4)
3 Pb 0.2093 0.2500 0.6250 (multiplicity 8)



Entry 5:
The following is a PBE-GGA calculation of K2NbAu after structural relaxation, from the Alexandria database.

- DFT formation energy (meV/atom) = 859
- relative energy among the computed polymorphs (eV per atom) = 0.000
- final energy (eV/atom) = -3.026
- M_tot (μB/cell) = 16.00
- mass density (g/cm³) = 3.33
- volume (Å³/atom) = 45.833

a = 11.7104 Å, b = 11.7104 Å, c = 5.3476 Å
α = 90.00°, β = 90.00°, γ = 90.00°
Space group I-42d (No. 122)
Unique sites:
1 K 0.1119 0.2500 0.1250 (multiplicity 8)
2 Nb 0.0000 0.0000 0.5000 (multiplicity 4)
3 Au 0.0000 0.0000 0.0000 (multiplicity 4)



Entry 6:
The following is a PBE-GGA calculation of SmZnCo2 after structural relaxation, from the Alexandria database.

- DFT formation energy (meV/atom) = -207
- final energy (eV/atom) = -5.258
- M_tot (μB/cell) = 4.69
- mass density (g/cm³) = 8.15
- volume (Å³/atom) = 16.989

a = 4.9414 Å, b = 3.9664 Å, c = 6.9343 Å
α = 90.00°, β = 90.00°, γ = 90.00°
Space group Pmma (No. 51)
Unique sites:
1 Sm 0.2500 0.0000 0.1914 (multiplicity 2)
2 Zn 0.2500 0.5000 0.8285 (multiplicity 2)
3 Co 0.0000 0.5000 0.5000 (multiplicity 2)
4 Co 0.2500 0.0000 0.5854 (multiplicity 2)